Below is Mg3AgC after structural relaxation, with properties calculated at the PBE level.

Summary:
Energy in eV/cell: -16.15

a = 4.3907 Å, b = 4.3907 Å, c = 4.3907 Å
α = 90.00°, β = 90.00°, γ = 90.00°
Closest atoms and distances in Å follow each position.
Space group Pm-3m (No. 221)
Unique sites:
1 Mg 0.0000 0.0000 0.5000 [3 per cell]  2 C 2.20
2 Ag 0.5000 0.5000 0.5000 [1 per cell]  12 Mg 3.10
3 C 0.0000 0.0000 0.0000 [1 per cell]  6 Mg 2.20